# GGA-PBE CeZnAu, optimized geometry
# Mass density ... 10.3 Mg/m³
# Density of states at the Fermi level ... 22.58 states/eV per cell
# Formation enthalpy at 0 K ... -0.574 eV/atom
# Total magnetic moment ... 0.84 μB/f.u.
data_CeZnAu
_chemical_formula_sum 'Ce4 Zn4 Au4'
_cell_length_a 6.848
_cell_length_b 4.673
_cell_length_c 8.087
_cell_angle_alpha 90.00
_cell_angle_beta 90.00
_cell_angle_gamma 90.00
_symmetry_space_group_name_H-M 'P n m a'
_symmetry_Int_Tables_number 62
_symmetry_space_group_name_Hall '-P 2ac 2n'
loop_
_atom_site_label
_atom_site_fract_x
_atom_site_fract_y
_atom_site_fract_z
Ce1 0.004 0.250 0.229
Zn1 0.213 0.250 0.582
Au1 0.231 0.750 0.415

=====

# GGA-PBE CeZnAu4, optimized geometry
# Mass density ... 12.8 Mg/m³
# Density of states at the Fermi level ... 33.96 states/eV per cell
# Formation enthalpy at 0 K ... -0.345 eV/atom
# ΔE to the lowest computed polymorph ... 0.056 eV/atom
# Total magnetic moment ... 0.93 μB/f.u.
data_CeZnAu4
_chemical_formula_sum 'Ce4 Zn4 Au16'
_cell_length_a 5.054
_cell_length_b 13.961
_cell_length_c 7.280
_cell_angle_alpha 90.00
_cell_angle_beta 90.00
_cell_angle_gamma 90.00
_symmetry_space_group_name_H-M 'C m c m'
_symmetry_Int_Tables_number 63
_symmetry_space_group_name_Hall '-C 2c 2'
loop_
_atom_site_label
_atom_site_fract_x
_atom_site_fract_y
_atom_site_fract_z
Ce1 0.000 0.115 0.250
Zn1 0.000 0.366 0.250
Au1 0.000 0.095 0.750
Au2 0.000 0.285 0.562
Au3 0.000 0.500 0.000

=====

# GGA-PBE CeZn3Au6, optimized geometry
# Mass density ... 13.1 Mg/m³
# Density of states at the Fermi level ... 20.47 states/eV per cell
# Formation enthalpy at 0 K ... -0.313 eV/atom
# Total magnetic moment ... 1.06 μB/f.u.
data_CeZn3Au6
_chemical_formula_sum 'Ce2 Zn6 Au12'
_cell_length_a 7.178
_cell_length_b 7.046
_cell_length_c 8.750
_cell_angle_alpha 90.00
_cell_angle_beta 119.92
_cell_angle_gamma 90.00
_symmetry_space_group_name_H-M 'P 1 21/c 1'
_symmetry_Int_Tables_number 14
_symmetry_space_group_name_Hall '-P 2ybc'
loop_
_atom_site_label
_atom_site_fract_x
_atom_site_fract_y
_atom_site_fract_z
Ce1 0.000 0.000 0.000
Zn1 0.265 0.157 0.451
Zn2 0.500 0.000 0.000
Au1 0.132 0.062 0.685
Au2 0.257 0.700 0.864
Au3 0.466 0.144 0.262

=====

# GGA-PBE CeZnAu2, optimized geometry
# Mass density ... 11.9 Mg/m³
# Density of states at the Fermi level ... 29.21 states/eV per cell
# Formation enthalpy at 0 K ... -0.575 eV/atom
# Total magnetic moment ... 0.85 μB/f.u.
data_CeZnAu2
_chemical_formula_sum 'Ce4 Zn4 Au8'
_cell_length_a 6.988
_cell_length_b 4.640
_cell_length_c 10.336
_cell_angle_alpha 90.00
_cell_angle_beta 90.00
_cell_angle_gamma 90.00
_symmetry_space_group_name_H-M 'P n m a'
_symmetry_Int_Tables_number 62
_symmetry_space_group_name_Hall '-P 2ac 2n'
loop_
_atom_site_label
_atom_site_fract_x
_atom_site_fract_y
_atom_site_fract_z
Ce1 0.247 0.250 0.160
Zn1 0.067 0.750 0.374
Au1 0.051 0.250 0.866
Au2 0.226 0.250 0.456

=====

# GGA-PBE Ce2Zn3Au2, optimized geometry
# Mass density ... 9.6 Mg/m³
# Density of states at the Fermi level ... 53.72 states/eV per cell
# Formation enthalpy at 0 K ... -0.416 eV/atom
# ΔE to the lowest computed polymorph ... 0.058 eV/atom
# Total magnetic moment ... 1.79 μB/f.u.
data_Ce2Zn3Au2
_chemical_formula_sum 'Ce8 Zn12 Au8'
_cell_length_a 4.090
_cell_length_b 19.311
_cell_length_c 7.601
_cell_angle_alpha 90.00
_cell_angle_beta 90.00
_cell_angle_gamma 90.00
_symmetry_space_group_name_H-M 'C m c m'
_symmetry_Int_Tables_number 63
_symmetry_space_group_name_Hall '-C 2c 2'
loop_
_atom_site_label
_atom_site_fract_x
_atom_site_fract_y
_atom_site_fract_z
Ce1 0.000 0.065 0.250
Ce2 0.000 0.157 0.750
Zn1 0.000 0.228 0.250
Zn2 0.000 0.446 0.084
Au1 0.000 0.318 0.552

=====

# GGA-PBE CeZn6Au12, optimized geometry
# Mass density ... 13.2 Mg/m³
# Density of states at the Fermi level ... 46.35 states/eV per cell
# Formation enthalpy at 0 K ... -0.188 eV/atom
# Total magnetic moment ... 1.11 μB/f.u.
data_CeZn6Au12
_chemical_formula_sum 'Ce3 Zn18 Au36'
_cell_length_a 11.8815
_cell_length_b 11.8815
_cell_length_c 8.9225
_cell_angle_alpha 90.00
_cell_angle_beta 90.00
_cell_angle_gamma 120.00
_symmetry_space_group_name_H-M 'R -3 m'
_symmetry_Int_Tables_number 166
_symmetry_space_group_name_Hall '-R 3 2"'
loop_
_atom_site_label
_atom_site_fract_x
_atom_site_fract_y
_atom_site_fract_z
Ce1 0.0000 0.0000 0.0000
Zn1 0.0612 0.5306 0.2448
Au1 0.0000 0.3821 0.5000
Au2 0.0831 0.1662 0.2907